Material: Mn4SiOs
Method: DFT, PBE
State: optimized geometry

Properties
Symmetry: No. 216
Distance to the lowest polymorph of the same formula (eV per atom): 0.2379
ΔE_f (raw) (meV per atom): 145
Raw total energy (eV/atom): -8.74
D(E_F) (states/eV per cell): 7.57

a b c (Å): 4.6307 4.6307 4.6307
angles (deg): 60.00 60.00 60.00
Closest atoms and distances in Å follow each position.
Fractional coordinates of all 6 atoms:
Mn: 0.3729 0.8812 0.3729  6 Mn 2.28-2.35
Mn: 0.8812 0.3729 0.3729  6 Mn 2.28-2.35
Mn: 0.3729 0.3729 0.8812  6 Mn 2.28-2.35
Mn: 0.3729 0.3729 0.3729  6 Mn 2.28-2.35
Si: 0.0000 0.0000 0.0000  12 Mn 2.71, 4 Os 2.84
Os: 0.7500 0.7500 0.7500  12 Mn 2.72, 4 Si 2.84

Material: MnSi2Os
Method: DFT, PBE
State: optimized geometry

Properties
Symmetry: No. 119
ΔE_f (raw) (meV per atom): -103
Raw total energy (eV/atom): -7.91
D(E_F) (states/eV per cell): 2.49

a b c (Å): 4.7007 4.7007 4.7007
angles (deg): 134.86 134.86 65.76
Closest atoms and distances in Å follow each position.
Fractional coordinates of all 4 atoms:
Mn: 0.5000 0.5000 0.0000  8 Si 2.55-2.67, 4 Os 2.67
Os: 0.7500 0.2500 0.5000  8 Si 2.55-2.67, 4 Mn 2.67
Si: 0.0000 0.0000 0.0000  4 Mn 2.55, 4 Os 2.67, 4 Si 2.67
Si: 0.2500 0.7500 0.5000  4 Os 2.55, 4 Mn 2.67, 4 Si 2.67

Material: Mn2SiOs
Method: DFT, PBE
State: optimized geometry

Properties
Symmetry: No. 35
ΔE_f (raw) (meV per atom): 183
Raw total energy (eV/atom): -8.57
D(E_F) (states/eV per cell): 4.53

a b c (Å): 2.6885 2.6885 7.9041
angles (deg): 90.00 90.00 114.89
Closest atoms and distances in Å follow each position.
Fractional coordinates of all 4 atoms:
Mn: 0.0000 0.0000 0.9889  2 Si 2.31, 2 Mn 2.45
Mn: 0.5000 0.5000 0.2385  6 Mn 2.45-2.69, 2 Os 2.60
Os: 0.0000 0.0000 0.5117  2 Si 2.44, 2 Mn 2.60, 4 Os 2.69
Si: 0.5000 0.5000 0.7609  2 Mn 2.31, 2 Os 2.44

Material: MnSi2Os
Method: DFT, PBE
State: optimized geometry

Properties
Symmetry: No. 99
ΔE_f (raw) (meV per atom): 45
Raw total energy (eV/atom): -7.77
D(E_F) (states/eV per cell): 1.46

a b c (Å): 2.6874 2.6874 7.3680
angles (deg): 90.00 90.00 90.00
Closest atoms and distances in Å follow each position.
Fractional coordinates of all 4 atoms:
Mn: 0.0000 0.0000 0.5056  4 Si 2.49, 4 Os 2.51, 4 Mn 2.69
Os: 0.5000 0.5000 0.7287  4 Mn 2.51, 4 Si 2.65, 4 Os 2.69
Si: 0.0000 0.0000 0.9787  4 Os 2.65, 8 Si 2.69-2.96
Si: 0.5000 0.5000 0.2871  4 Mn 2.49, 4 Si 2.69